(1)
DFT (PBE) results for a relaxed Ca2InSe crystal.

Total magnetic moment   0.000 Bohr magnetons per cell
Fermi-level density of states   1.88 states/eV per cell
SG   I4/mmm
Uncorrected formation energy   -0.752 eV/atom

Cell lengths 5.6229, 5.6229, 5.6229 Å; angles 127.40, 127.40, 77.60 degrees
Last column: nearest neighbours and their distance in Å.
Fractional positions:
Ca: 0.0000 0.0000 0.0000  4 In 3.32, 4 Se 3.32, 4 Ca 3.52
Ca: 0.5000 0.5000 0.0000  4 In 3.32, 4 Se 3.32, 4 Ca 3.52
Se: 0.7500 0.2500 0.5000  8 Ca 3.32, 4 In 3.52
In: 0.2500 0.7500 0.5000  8 Ca 3.32, 4 Se 3.52

(2)
DFT (PBE) results for a relaxed CaIn2Se crystal.

Total magnetic moment   0.000 Bohr magnetons per cell
Fermi-level density of states   2.05 states/eV per cell
SG   I-4m2
Uncorrected formation energy   -0.533 eV/atom

Cell lengths 5.7937, 5.7937, 5.7937 Å; angles 132.35, 132.35, 69.67 degrees
Last column: nearest neighbours and their distance in Å.
Fractional positions:
Ca: 0.7500 0.2500 0.5000  8 In 3.31-3.34, 4 Se 3.34
Se: 0.5000 0.5000 0.0000  8 In 3.31-3.34, 4 Ca 3.34
In: 0.0000 0.0000 0.0000  4 Se 3.31, 4 In 3.34, 4 Ca 3.34
In: 0.2500 0.7500 0.5000  4 Ca 3.31, 4 In 3.34, 4 Se 3.34

(3)
DFT (PBE) results for a relaxed Ca2InSe crystal.

Total magnetic moment   0.000 Bohr magnetons per cell
Fermi-level density of states   1.73 states/eV per cell
SG   I-4m2
Uncorrected formation energy   -0.799 eV/atom

Cell lengths 6.7170, 6.7170, 6.7170 Å; angles 141.95, 141.95, 54.90 degrees
Last column: nearest neighbours and their distance in Å.
Fractional positions:
Ca: 0.0000 0.0000 0.0000  4 In 3.10
Ca: 0.2500 0.7500 0.5000  4 Se 3.10
Se: 0.7500 0.2500 0.5000  4 Ca 3.10
In: 0.5000 0.5000 0.0000  4 Ca 3.10

(4)
DFT (PBE) results for a relaxed Ca2InSe crystal.

Total magnetic moment   0.006 Bohr magnetons per cell
Fermi-level density of states   2.64 states/eV per cell
SG   R-3m
Uncorrected formation energy   -1.087 eV/atom

Cell lengths 4.0112, 4.0112, 8.8883 Å; angles 76.97, 76.97, 59.99 degrees
Last column: nearest neighbours and their distance in Å.
Fractional positions:
Ca: 0.9855 0.9855 0.0429  3 Se 2.92
Ca: 0.5145 0.5145 0.4571  3 Se 2.92
Se: 0.2500 0.2500 0.2500  6 Ca 2.92
In: 0.7500 0.7500 0.7500  6 Ca 3.42

> Number 1 is which compound?

Ca2InSe